No. 1
Material: LiYAlOs
Method: DFT, PBE-GGA
State: optimized geometry

Space-group type = F-43m (216)
E = -6.04 eV per atom

a b c (Å): 4.625 4.625 4.625
angles (deg): 60.00 60.00 60.00
Element x y z (fractional)
Y 0.000 0.000 0.000
Os 0.750 0.750 0.750
Al 0.500 0.500 0.500
Li 0.250 0.250 0.250

No. 2
Material: Y2Al2AgPt5
Method: DFT, PBE-GGA
State: optimized geometry

Space-group type = P4/mbm (127)
E = -6.23 eV per atom

a b c (Å): 3.723 9.810 9.810
angles (deg): 90.00 90.00 90.00
Element x y z (fractional)
Y 0.000 0.678 0.178
Y 0.000 0.322 0.822
Y 0.000 0.178 0.322
Y 0.000 0.822 0.678
Al 0.000 0.120 0.620
Al 0.000 0.880 0.380
Al 0.000 0.620 0.880
Al 0.000 0.380 0.120
Ag 0.000 0.000 0.000
Ag 0.000 0.500 0.500
Pt 0.500 0.210 0.065
Pt 0.500 0.790 0.935
Pt 0.500 0.065 0.790
Pt 0.500 0.710 0.435
Pt 0.500 0.935 0.210
Pt 0.500 0.290 0.565
Pt 0.500 0.565 0.710
Pt 0.500 0.435 0.290
Pt 0.500 0.500 0.000
Pt 0.500 0.000 0.500